Entry 1:
## MgSc4Sn (GGA-PBE)

Data for MgSc4Sn after structural relaxation.

a = 4.833 Å, b = 4.835 Å, c = 8.591 Å
α = 73.65°, β = 73.66°, γ = 60.02°
Sites, in units of the cell vectors:
Sc (0.124, 0.123, 0.629)
Sc (0.876, 0.877, 0.371)
Sc (0.624, 0.624, 0.128)
Sc (0.376, 0.376, 0.872)
Sn (0.500, 0.500, 0.500)
Mg (0.000, 0.000, 0.000)

Properties
symmetry = R-3m, No. 166
energy of formation = 0.11 eV per atom

Entry 2:
## Ga2HgMo (GGA-PBE)

Data for Ga2HgMo after structural relaxation.

a = 7.214 Å, b = 7.214 Å, c = 5.864 Å
α = 52.05°, β = 52.05°, γ = 90.00°
Sites, in units of the cell vectors:
Hg (0.750, 0.250, 0.500)
Hg (0.000, 0.000, 0.000)
Mo (0.250, 0.750, 0.500)
Mo (0.500, 0.500, 0.000)
Ga (0.875, 0.866, 0.750)
Ga (0.375, 0.384, 0.750)
Ga (0.134, 0.625, 0.250)
Ga (0.616, 0.125, 0.250)

Properties
symmetry = I-42d, No. 122
energy of formation = 0.49 eV per atom

Entry 3:
## DyGeI (GGA-PBE)

Data for DyGeI after structural relaxation.

a = 3.724 Å, b = 3.724 Å, c = 13.756 Å
α = 97.68°, β = 97.25°, γ = 90.00°
Sites, in units of the cell vectors:
Dy (0.263, 0.727, 0.514)
Dy (0.449, 0.924, 0.919)
Ge (0.896, 0.368, 0.807)
Ge (0.815, 0.283, 0.627)
I (0.694, 0.153, 0.365)
I (0.020, 0.498, 0.068)

Properties
symmetry = P1, No. 1
uncorrected formation energy = -0.685 eV per atom

Number 1: DOS at the Fermi energy 9.31 states/eV per cell. Number 2: DOS at the Fermi energy 0.20 states/eV per cell. Number 3: DOS at the Fermi energy 3.64 states/eV per cell.